Density functional theory data (PBE with a Hubbard U) for an optimized crystal structure of MnTlGaF6.

Structure (POSCAR):
```
MnTlGaF6
1.0
5.5332 0.0000 0.0000
-2.7666 4.7919 0.0000
0.0000 0.0000 5.9597
Mn Tl Ga F
1 1 1 6
direct
0.0000 0.0000 0.0000
0.6667 0.3333 0.5000
0.3333 0.6667 0.0000
0.0627 0.3627 0.1834
0.0627 0.7001 0.8166
0.2999 0.3627 0.8166
0.2999 0.9373 0.1834
0.6373 0.7001 0.1834
0.6373 0.9373 0.8166
```

Results
The total DFT energy (no corrections) comes out at -5.185 eV per atom. As for the density of states at the Fermi level: 0.0 states/eV per cell. The total magnetization is 5.0 μB per formula unit. As for the crystal system: trigonal.